Entry 1:
This record from Alexandria describes YTe2RhI after structural relaxation. The functional is PBE.

Computed properties:
M_tot in μB per formula unit: 0.00
ΔE to the lowest computed polymorph in meV/atom: 0
Volume in A^3/atom: 29.392
SG: P4/mmm, No. 123

Cell and atoms, written as POSCAR:
```
YTe2RhI
1.0
5.3221 0.0000 0.0000
0.0000 5.3221 0.0000
0.0000 0.0000 5.1885
Y Te Rh I
1 2 1 1
direct
0.0000 0.0000 0.0000
0.0000 0.5000 0.5000
0.5000 0.0000 0.5000
0.5000 0.5000 0.5000
0.5000 0.5000 0.0000
```

***

Entry 2:
This record from Alexandria describes YTe2RhI after structural relaxation. The functional is PBE.

Computed properties:
M_tot in μB per formula unit: 2.35
ΔE to the lowest computed polymorph in meV/atom: 592
Volume in A^3/atom: 40.409
SG: P4/mmm, No. 123

Cell and atoms, written as POSCAR:
```
YTe2RhI
1.0
5.8790 0.0000 0.0000
0.0000 5.8790 0.0000
0.0000 0.0000 5.8458
Y Te Rh I
1 2 1 1
direct
0.0000 0.0000 0.0000
0.0000 0.5000 0.0000
0.5000 0.0000 0.0000
0.5000 0.5000 0.5000
0.0000 0.0000 0.5000
```

***

Entry 3:
This record from Alexandria describes ZnTe2RhI after structural relaxation. The functional is PBE.

Computed properties:
M_tot in μB per formula unit: 0.00
ΔE to the lowest computed polymorph in meV/atom: 0
Volume in A^3/atom: 30.321
SG: P4/mmm, No. 123

Cell and atoms, written as POSCAR:
```
ZnTe2RhI
1.0
5.2200 0.0000 0.0000
0.0000 5.2200 0.0000
0.0000 0.0000 5.5637
Zn Te Rh I
1 2 1 1
direct
0.0000 0.0000 0.0000
0.0000 0.5000 0.5000
0.5000 0.0000 0.5000
0.5000 0.5000 0.5000
0.5000 0.5000 0.0000
```

***

Entry 4:
This record from Alexandria describes ZnTe2RhI after structural relaxation. The functional is PBE.

Computed properties:
M_tot in μB per formula unit: 2.21
ΔE to the lowest computed polymorph in meV/atom: 537
Volume in A^3/atom: 30.201
SG: P4/mmm, No. 123

Cell and atoms, written as POSCAR:
```
ZnTe2RhI
1.0
5.2209 0.0000 0.0000
0.0000 5.2209 0.0000
0.0000 0.0000 5.5398
Zn Te Rh I
1 2 1 1
direct
0.0000 0.0000 0.0000
0.0000 0.5000 0.0000
0.5000 0.0000 0.0000
0.5000 0.5000 0.5000
0.0000 0.0000 0.5000
```

***

Entry 5:
This record from Alexandria describes ZrTe2RhI after structural relaxation. The functional is PBE.

Computed properties:
M_tot in μB per formula unit: 0.00
ΔE to the lowest computed polymorph in meV/atom: 0
Volume in A^3/atom: 28.179
SG: P4/mmm, No. 123

Cell and atoms, written as POSCAR:
```
ZrTe2RhI
1.0
5.2104 0.0000 0.0000
0.0000 5.2104 0.0000
0.0000 0.0000 5.1899
Zr Te Rh I
1 2 1 1
direct
0.0000 0.0000 0.0000
0.0000 0.5000 0.5000
0.5000 0.0000 0.5000
0.5000 0.5000 0.5000
0.5000 0.5000 0.0000
```

***

Entry 6:
This record from Alexandria describes ZrTe2RhI after structural relaxation. The functional is PBE.

Computed properties:
M_tot in μB per formula unit: 1.66
ΔE to the lowest computed polymorph in meV/atom: 144
Volume in A^3/atom: 35.538
SG: P4/mmm, No. 123

Cell and atoms, written as POSCAR:
```
ZrTe2RhI
1.0
5.6012 0.0000 0.0000
0.0000 5.6012 0.0000
0.0000 0.0000 5.6636
Zr Te Rh I
1 2 1 1
direct
0.0000 0.0000 0.0000
0.0000 0.5000 0.0000
0.5000 0.0000 0.0000
0.5000 0.5000 0.5000
0.0000 0.0000 0.5000
```

***

Entry 7:
This record from Alexandria describes Th4RhI5 after structural relaxation. The functional is PBE.

Computed properties:
M_tot in μB per formula unit: 0.00
Volume in A^3/atom: 35.156
SG: C2/m, No. 12

Cell and atoms, written as POSCAR:
```
Th4RhI5
1.0
9.4409 -1.9922 0.0000
9.4409 1.9922 0.0000
-1.4609 0.0000 9.3460
Th Rh I
4 1 5
direct
0.0013 0.0013 0.2002
0.3305 0.3305 0.9494
0.6695 0.6695 0.0506
0.9987 0.9987 0.7998
0.5000 0.5000 0.0000
0.1672 0.1672 0.7770
0.1683 0.1683 0.3257
0.5000 0.5000 0.5000
0.8317 0.8317 0.6743
0.8328 0.8328 0.2230
```

***

Entry 8:
This record from Alexandria describes Th2RhI2 after structural relaxation. The functional is PBE.

Computed properties:
M_tot in μB per formula unit: 0.00
Volume in A^3/atom: 37.291
SG: C2/m, No. 12

Cell and atoms, written as POSCAR:
```
Th2RhI2
1.0
7.2688 0.0000 0.0000
0.0000 4.1914 0.0000
-2.6817 0.0000 12.2399
Th Rh I
4 2 4
direct
0.2129 0.0000 0.1264
0.2871 0.5000 0.8736
0.7129 0.5000 0.1264
0.7871 0.0000 0.8736
0.0000 0.5000 0.0000
0.5000 0.0000 0.0000
0.0502 0.0000 0.6838
0.4498 0.5000 0.3162
0.5502 0.5000 0.6838
0.9498 0.0000 0.3162
```

***

Number 1: density of states at the Fermi level 1.64 states/eV per cell, E_form (uncorrected) -0.2517 eV per atom, raw total energy -4.581 eV per atom. Number 2: density of states at the Fermi level 8.38 states/eV per cell, E_form (uncorrected) 0.3405 eV per atom, raw total energy -3.989 eV per atom. Number 3: density of states at the Fermi level 6.71 states/eV per cell, E_form (uncorrected) 0.3593 eV per atom, raw total energy -2.932 eV per atom. Number 4: density of states at the Fermi level 7.48 states/eV per cell, E_form (uncorrected) 0.8963 eV per atom, raw total energy -2.395 eV per atom. Number 5: density of states at the Fermi level 5.83 states/eV per cell, E_form (uncorrected) 0.3426 eV per atom, raw total energy -4.404 eV per atom. Number 6: density of states at the Fermi level 8.72 states/eV per cell, E_form (uncorrected) 0.4864 eV per atom, raw total energy -4.260 eV per atom. Number 7: density of states at the Fermi level 4.87 states/eV per cell, E_form (uncorrected) -0.9541 eV per atom, raw total energy -5.432 eV per atom. Number 8: density of states at the Fermi level 5.87 states/eV per cell, E_form (uncorrected) -1.0573 eV per atom, raw total energy -6.116 eV per atom.